Entry 1:
Compound: Ga3SnC
Source: the Alexandria database
Functional: GGA-PBE
Structure: relaxed

The structure in POSCAR format:
```
Ga3SnC
1.0
4.4375 0.0000 0.0000
0.0000 4.4375 0.0000
0.0000 0.0000 4.4375
Ga Sn C
3 1 1
Cartesian
0.0000 0.0000 2.2187 Ga
0.0000 2.2187 0.0000 Ga
2.2187 0.0000 0.0000 Ga
2.2187 2.2187 2.2187 Sn
0.0000 0.0000 0.0000 C
```

Values from the calculation:
Energy above the most stable polymorph in this dataset ... 0 meV per atom
Total energy ... -19.2 eV per cell

***

Entry 2:
Compound: CaMg2BeTl
Source: the Alexandria database
Functional: GGA-PBE
Structure: relaxed

The structure in POSCAR format:
```
CaMg2BeTl
1.0
6.0544 0.0000 0.0000
0.0000 6.0544 0.0000
0.0000 0.0000 5.2563
Ca Mg Be Tl
1 2 1 1
Cartesian
0.0000 0.0000 0.0000 Ca
0.0000 3.0272 0.0000 Mg
3.0272 0.0000 0.0000 Mg
0.0000 0.0000 2.6282 Be
3.0272 3.0272 2.6282 Tl
```

Values from the calculation:
Total energy ... -5.9 eV per cell

***

Entry 3:
Compound: Hf2ZrBe2
Source: the Alexandria database
Functional: GGA-PBE
Structure: relaxed

The structure in POSCAR format:
```
Hf2ZrBe2
1.0
7.7264 0.0000 0.0000
0.0000 7.7264 0.0000
0.0000 0.0000 2.9041
Hf Zr Be
4 2 4
Cartesian
1.0496 2.8136 0.0000 Hf
2.8136 6.6768 0.0000 Hf
4.9128 1.0496 0.0000 Hf
6.6768 4.9128 0.0000 Hf
0.0000 0.0000 0.0000 Zr
3.8632 3.8632 0.0000 Zr
1.2837 5.1469 1.4520 Be
2.5796 1.2837 1.4520 Be
5.1469 6.4428 1.4520 Be
6.4428 2.5796 1.4520 Be
```

Values from the calculation:
Energy above the most stable polymorph in this dataset ... 235 meV per atom
Total energy ... -69.7 eV per cell

***

> Number 1 is which compound?

Ga3SnC